[1]
Crystalline CsTlRuCl6 at its relaxed geometry, computed with PBE-GGA.

Summary:
Its density of states at the Fermi level is 1.5 states/eV/cell. For the formation energy (no corrections), the calculation gives -0.976 eV/atom.

Cell lengths 7.0107, 7.0107, 7.4369 Å; angles 90.00, 90.00, 120.00 degrees
With the nearest neighbours (Å) after each atom.
Element x y z (fractional)
Cs  0.0000  0.0000  0.0000  6 Cl 3.50
Tl  0.6667  0.3333  0.5000  6 Cl 2.88
Ru  0.3333  0.6667  0.5000  6 Cl 2.36
Cl  0.0549  0.3927  0.3186  1 Ru 2.36
Cl  0.0549  0.6622  0.6814  1 Ru 2.36
Cl  0.3378  0.3927  0.6814  1 Ru 2.36
Cl  0.3378  0.9451  0.3186  1 Ru 2.36
Cl  0.6073  0.6622  0.3186  1 Ru 2.36
Cl  0.6073  0.9451  0.6814  1 Ru 2.36


[2]
Crystalline CsVRuCl6 at its relaxed geometry, computed with PBE-GGA.

Summary:
Its density of states at the Fermi level is 10.5 states/eV/cell. For the formation energy (no corrections), the calculation gives -1.104 eV/atom.

Cell lengths 6.2521, 6.2521, 7.9913 Å; angles 90.00, 90.00, 120.00 degrees
With the nearest neighbours (Å) after each atom.
Element x y z (fractional)
Cs  0.0000  0.0000  0.0000  6 Cl 3.48
V  0.6667  0.3333  0.5000  6 Cl 2.43
Ru  0.3333  0.6667  0.5000  6 Cl 2.40
Cl  0.0030  0.3645  0.3300  1 Ru 2.40, 1 V 2.43
Cl  0.0030  0.6385  0.6700  1 Ru 2.40, 1 V 2.43
Cl  0.3615  0.3645  0.6700  1 Ru 2.40, 1 V 2.43
Cl  0.3615  0.9970  0.3300  1 Ru 2.40, 1 V 2.43
Cl  0.6355  0.6385  0.3300  1 Ru 2.40, 1 V 2.43
Cl  0.6355  0.9970  0.6700  1 Ru 2.40, 1 V 2.43


[3]
Crystalline Cs2YRuCl6 at its relaxed geometry, computed with PBE-GGA.

Summary:
Its density of states at the Fermi level is 0.0 states/eV/cell. For the formation energy (no corrections), the calculation gives -1.523 eV/atom.

Cell lengths 7.6560, 7.6560, 7.6560 Å; angles 124.03, 124.03, 83.16 degrees
With the nearest neighbours (Å) after each atom.
Element x y z (fractional)
Cs  0.2500  0.7500  0.5000  12 Cl 3.60-3.83
Cs  0.7500  0.2500  0.5000  12 Cl 3.60-3.83
Y  0.0000  0.0000  0.0000  6 Cl 2.65
Ru  0.5000  0.5000  0.0000  4 Cl 2.43
Cl  0.2315  0.2315  0.0000  1 Y 2.65
Cl  0.2609  0.2609  0.5217  1 Ru 2.43, 1 Y 2.65
Cl  0.2609  0.7391  0.0000  1 Ru 2.43, 1 Y 2.65
Cl  0.7391  0.2609  0.0000  1 Ru 2.43, 1 Y 2.65
Cl  0.7391  0.7391  0.4783  1 Ru 2.43, 1 Y 2.65
Cl  0.7685  0.7685  0.0000  1 Y 2.65


[4]
Crystalline CsZnRuCl6 at its relaxed geometry, computed with PBE-GGA.

Summary:
Its density of states at the Fermi level is 7.7 states/eV/cell. For the formation energy (no corrections), the calculation gives -1.041 eV/atom.

Cell lengths 6.3822, 6.3822, 7.8651 Å; angles 90.00, 90.00, 120.00 degrees
With the nearest neighbours (Å) after each atom.
Element x y z (fractional)
Cs  0.0000  0.0000  0.0000  6 Cl 3.49
Zn  0.6667  0.3333  0.5000  6 Cl 2.50
Ru  0.3333  0.6667  0.5000  6 Cl 2.38
Cl  0.0141  0.3755  0.6724  1 Ru 2.38, 1 Zn 2.50
Cl  0.0141  0.6386  0.3276  1 Ru 2.38, 1 Zn 2.50
Cl  0.3614  0.3755  0.3276  1 Ru 2.38, 1 Zn 2.50
Cl  0.3614  0.9859  0.6724  1 Ru 2.38, 1 Zn 2.50
Cl  0.6245  0.6386  0.6724  1 Ru 2.38, 1 Zn 2.50
Cl  0.6245  0.9859  0.3276  1 Ru 2.38, 1 Zn 2.50


[5]
Crystalline Cs2ZrRuCl6 at its relaxed geometry, computed with PBE-GGA.

Summary:
Its density of states at the Fermi level is 0.0 states/eV/cell. For the formation energy (no corrections), the calculation gives -1.303 eV/atom.

Cell lengths 7.3610, 7.3610, 7.3610 Å; angles 119.86, 119.86, 90.25 degrees
With the nearest neighbours (Å) after each atom.
Element x y z (fractional)
Cs  0.2500  0.7500  0.5000  12 Cl 3.68-3.69
Cs  0.7500  0.2500  0.5000  12 Cl 3.68-3.69
Zr  0.0000  0.0000  0.0000  6 Cl 2.54
Ru  0.5000  0.5000  0.0000  6 Cl 2.65-2.67
Cl  0.2438  0.2438  0.4876  1 Zr 2.54, 1 Ru 2.67
Cl  0.2438  0.7562  0.0000  1 Zr 2.54, 1 Ru 2.67
Cl  0.2447  0.2447  0.0000  1 Zr 2.54, 1 Ru 2.65
Cl  0.7553  0.7553  0.0000  1 Zr 2.54, 1 Ru 2.65
Cl  0.7562  0.2438  0.0000  1 Zr 2.54, 1 Ru 2.67
Cl  0.7562  0.7562  0.5124  1 Zr 2.54, 1 Ru 2.67


[6]
Crystalline CsSCl at its relaxed geometry, computed with PBE-GGA.

Summary:
For the formation energy (no corrections), the calculation gives -1.110 eV/atom.

Cell lengths 11.3492, 4.9385, 9.8676 Å; angles 90.00, 90.01, 90.00 degrees
With the nearest neighbours (Å) after each atom.
Element x y z (fractional)
Cs  0.1583  0.2480  0.1248  5 Cl 3.48-3.51
Cs  0.1583  0.2520  0.6248  5 Cl 3.48-3.51
Cs  0.8417  0.7480  0.3752  5 Cl 3.48-3.51
Cs  0.8417  0.7520  0.8752  5 Cl 3.48-3.51
S  0.4406  0.5897  0.9478  1 S 1.91
S  0.4406  0.9103  0.4478  1 S 1.91
S  0.5594  0.0897  0.5522  1 S 1.91
S  0.5594  0.4103  0.0522  1 S 1.91
Cl  0.1483  0.7492  0.3740  5 Cs 3.48-3.51, 1 S 3.49
Cl  0.1483  0.7508  0.8740  5 Cs 3.48-3.51, 1 S 3.49
Cl  0.8517  0.2492  0.1260  5 Cs 3.48-3.51, 1 S 3.49
Cl  0.8517  0.2508  0.6260  5 Cs 3.48-3.51, 1 S 3.49


[7]
Crystalline Cs2S2Cl at its relaxed geometry, computed with PBE-GGA.

Summary:
Its density of states at the Fermi level is 2.1 states/eV/cell. The calculation puts the energy above the most stable polymorph in this dataset at 0 meV/atom. For the formation energy (no corrections), the calculation gives -1.143 eV/atom.

Cell lengths 4.8193, 4.8193, 9.7883 Å; angles 107.06, 107.06, 62.40 degrees
With the nearest neighbours (Å) after each atom.
Element x y z (fractional)
Cs  0.0678  0.0678  0.2711  3 Cl 3.50-3.52, 5 S 3.60-3.74
Cs  0.9322  0.9322  0.7289  3 Cl 3.50-3.52, 5 S 3.60-3.74
S  0.3708  0.3708  0.9761  1 S 2.02
S  0.6292  0.6292  0.0239  1 S 2.02
Cl  0.5000  0.5000  0.5000  6 Cs 3.50-3.52


[8]
Crystalline CsS3Cl12 at its relaxed geometry, computed with PBE-GGA.

Summary:
Its density of states at the Fermi level is 10.0 states/eV/cell. For the formation energy (no corrections), the calculation gives -0.290 eV/atom.

Cell lengths 16.3102, 16.3102, 16.3102 Å; angles 36.30, 36.30, 36.30 degrees
With the nearest neighbours (Å) after each atom.
Element x y z (fractional)
Cs  0.0000  0.0000  0.0000  6 Cl 3.57
Cs  0.5000  0.5000  0.5000  6 Cl 3.57
S  0.1653  0.7510  0.3354  4 Cl 2.10-2.28
S  0.2510  0.6653  0.8354  4 Cl 2.10-2.28
S  0.3354  0.1653  0.7510  4 Cl 2.10-2.28
S  0.6653  0.8354  0.2510  4 Cl 2.10-2.28
S  0.7510  0.3354  0.1653  4 Cl 2.10-2.28
S  0.8354  0.2510  0.6653  4 Cl 2.10-2.28
Cl  0.0530  0.0559  0.6519  1 S 2.11
Cl  0.0559  0.6519  0.0530  1 S 2.11
Cl  0.1456  0.6779  0.2795  1 S 2.28
Cl  0.1519  0.5559  0.5530  1 S 2.11
Cl  0.1779  0.6456  0.7795  1 S 2.28
Cl  0.2167  0.8246  0.3593  1 S 2.28
Cl  0.2795  0.1456  0.6779  1 S 2.28
Cl  0.3246  0.7167  0.8593  1 S 2.28
Cl  0.3506  0.9467  0.9439  1 S 2.10
Cl  0.3593  0.2167  0.8246  1 S 2.28
Cl  0.4439  0.4467  0.8506  1 S 2.10
Cl  0.4467  0.8506  0.4439  1 S 2.10
Cl  0.5530  0.1519  0.5559  1 S 2.11
Cl  0.5559  0.5530  0.1519  1 S 2.11
Cl  0.6456  0.7795  0.1779  1 S 2.28
Cl  0.6519  0.0530  0.0559  1 S 2.11
Cl  0.6779  0.2795  0.1456  1 S 2.28
Cl  0.7167  0.8593  0.3246  1 S 2.28
Cl  0.7795  0.1779  0.6456  1 S 2.28
Cl  0.8246  0.3593  0.2167  1 S 2.28
Cl  0.8506  0.4439  0.4467  1 S 2.10
Cl  0.8593  0.3246  0.7167  1 S 2.28
Cl  0.9439  0.3506  0.9467  1 S 2.10
Cl  0.9467  0.9439  0.3506  1 S 2.10


[9]
Crystalline Cs5SCl4 at its relaxed geometry, computed with PBE-GGA.

Summary:
Its density of states at the Fermi level is 8.9 states/eV/cell. For the formation energy (no corrections), the calculation gives -1.640 eV/atom.

Cell lengths 8.7121, 8.7121, 8.7121 Å; angles 99.40, 99.40, 132.32 degrees
With the nearest neighbours (Å) after each atom.
Element x y z (fractional)
Cs  0.0000  0.0000  0.0000  2 S 3.52, 4 Cl 3.56
Cs  0.1969  0.3986  0.5936  5 Cl 3.52-3.58, 1 S 3.62
Cs  0.3986  0.8050  0.2017  5 Cl 3.52-3.58, 1 S 3.62
Cs  0.6033  0.1969  0.7983  5 Cl 3.52-3.58, 1 S 3.62
Cs  0.8050  0.6033  0.4064  5 Cl 3.52-3.58, 1 S 3.62
S  0.4996  0.4996  0.0000  6 Cs 3.52-3.62
Cl  0.1020  0.7014  0.8013  6 Cs 3.52-3.58
Cl  0.3006  0.1020  0.4006  6 Cs 3.52-3.58
Cl  0.7014  0.9000  0.5994  6 Cs 3.52-3.58
Cl  0.9000  0.3006  0.1987  6 Cs 3.52-3.58


[10]
Crystalline CsS6Cl2 at its relaxed geometry, computed with PBE-GGA.

Summary:
Its density of states at the Fermi level is 1.9 states/eV/cell. For the formation energy (no corrections), the calculation gives -0.180 eV/atom.

Cell lengths 5.1720, 5.9382, 10.6356 Å; angles 88.36, 78.69, 66.07 degrees
With the nearest neighbours (Å) after each atom.
Element x y z (fractional)
Cs  0.0000  0.0000  0.0000  6 Cl 3.56-3.68, 2 S 3.98
S  0.1982  0.2238  0.4329  1 S 2.01
S  0.3513  0.4441  0.2674  1 S 2.06
S  0.4271  0.7354  0.5931  2 S 2.01-2.06
S  0.5729  0.2646  0.4069  2 S 2.01-2.06
S  0.6487  0.5559  0.7326  1 S 2.06
S  0.8018  0.7762  0.5671  1 S 2.01
Cl  0.3654  0.3720  0.8639  1 S 2.39
Cl  0.6346  0.6280  0.1361  1 S 2.39